[1]
Material: IrBr2
Method: DFT, GGA-PBEsol
State: relaxed

Calculated values
- Symmetry: C2/m (12)
- Formation energy (no corrections): 0.23 eV/atom
- Theoretical density: 7.71 g/cm3
- Crystal system: monoclinic
- Total DFT energy (no corrections): -4.2900 eV per atom

a b c (Å): 6.627 6.627 7.797
angles (deg): 118.54 118.54 30.65
Atoms (fractional coordinates):
Ir1 0.192 0.192 0.348
Ir2 0.808 0.808 0.652
Br1 0.232 0.232 0.785
Br2 0.460 0.460 0.718
Br3 0.540 0.540 0.282
Br4 0.768 0.768 0.215

---

[2]
Material: K3NaBr
Method: DFT, GGA-PBEsol
State: relaxed

Calculated values
- Symmetry: Pm-3m (221)
- Formation energy (no corrections): -0.62 eV/atom
- Theoretical density: 1.38 g/cm3
- Crystal system: cubic
- Total DFT energy (no corrections): -1.9522 eV per atom

a b c (Å): 6.423 6.423 6.423
angles (deg): 90.00 90.00 90.00
Atoms (fractional coordinates):
K1 0.000 0.000 0.500
K2 0.000 0.500 0.000
K3 0.500 0.000 0.000
Na1 0.500 0.500 0.500
Br1 0.000 0.000 0.000

---

[3]
Material: Cd3Ni
Method: DFT, GGA-PBEsol
State: relaxed

Calculated values
- Symmetry: Immm (71)
- Theoretical density: 8.79 g/cm3
- Crystal system: orthorhombic
- Total DFT energy (no corrections): -2.4175 eV per atom
- E_form: 0.020 eV/atom

a b c (Å): 6.388 6.388 6.388
angles (deg): 153.67 139.52 48.94
Atoms (fractional coordinates):
Cd1 0.000 0.000 0.000
Cd2 0.311 0.811 0.500
Cd3 0.689 0.189 0.500
Ni1 0.500 0.500 0.000

---

[4]
Material: MnPPt2
Method: DFT, GGA-PBEsol
State: relaxed

Calculated values
- Symmetry: Imm2 (44)
- Theoretical density: 14.21 g/cm3
- Crystal system: orthorhombic
- Total DFT energy (no corrections): -7.5973 eV per atom
- E_form: -0.227 eV/atom

a b c (Å): 4.973 4.973 4.973
angles (deg): 143.63 129.45 63.85
Atoms (fractional coordinates):
Mn1 0.000 0.000 0.000
P1 0.784 0.284 0.500
Pt1 0.296 0.796 0.500
Pt2 0.577 0.577 0.000

---

[5]
Material: LiCdIn2Au
Method: DFT, GGA-PBEsol
State: relaxed

Calculated values
- Symmetry: P4/mmm (123)
- Theoretical density: 6.04 g/cm3
- Crystal system: tetragonal
- Total DFT energy (no corrections): -2.2450 eV per atom
- E_form: 0.366 eV/atom

a b c (Å): 5.376 5.376 5.197
angles (deg): 90.00 90.00 90.00
Atoms (fractional coordinates):
Li1 0.000 0.000 0.000
Cd1 0.500 0.500 0.500
In1 0.000 0.500 0.500
In2 0.500 0.000 0.500
Au1 0.500 0.500 0.000

---

[6]
Material: LaTaW2S
Method: DFT, GGA-PBEsol
State: relaxed

Calculated values
- Symmetry: P4/mmm (123)
- Formation energy (no corrections): 0.53 eV/atom
- Theoretical density: 12.33 g/cm3
- Crystal system: tetragonal
- Total DFT energy (no corrections): -9.4516 eV per atom

a b c (Å): 4.560 4.560 4.662
angles (deg): 90.00 90.00 90.00
Atoms (fractional coordinates):
La1 0.000 0.000 0.000
Ta1 0.500 0.500 0.000
W1 0.000 0.500 0.500
W2 0.500 0.000 0.500
S1 0.500 0.500 0.500